# 1
Here is a relaxed ZrZnMo crystal from the Alexandria database. Energies are from PBE.

Cell and atoms, written as POSCAR:
```
ZrZnMo
1.0
0.000 3.078 3.078
3.078 0.000 3.078
3.078 3.078 0.000
Zr Zn Mo
1 1 1
direct
0.000 0.000 0.000
0.750 0.750 0.750
0.500 0.500 0.500
```

Output
- Electronic total energy: -19.15 eV/cell
- Polymorph energy (0 for the lowest one): 652 meV/atom
- Formation energy: 500 meV per atom

***

# 2
Here is a relaxed Zr12Zn5Mo3 crystal from the Alexandria database. Energies are from PBE.

Cell and atoms, written as POSCAR:
```
Zr12Zn5Mo3
1.0
-7.906 7.906 7.906
7.906 -7.906 7.906
7.906 7.906 -7.906
Zr Zn Mo
48 20 12
direct
0.063 0.229 0.134
0.063 0.334 0.929
0.071 0.634 0.405
0.071 0.937 0.666
0.095 0.729 0.666
0.095 0.866 0.429
0.134 0.063 0.229
0.134 0.571 0.905
0.166 0.229 0.595
0.166 0.437 0.571
0.229 0.134 0.063
0.229 0.595 0.166
0.271 0.334 0.905
0.271 0.437 0.366
0.334 0.905 0.271
0.334 0.929 0.063
0.366 0.271 0.437
0.366 0.595 0.929
0.405 0.071 0.634
0.405 0.834 0.771
0.429 0.095 0.866
0.429 0.834 0.563
0.437 0.366 0.271
0.437 0.571 0.166
0.563 0.429 0.834
0.563 0.634 0.729
0.571 0.166 0.437
0.571 0.905 0.134
0.595 0.166 0.229
0.595 0.929 0.366
0.634 0.405 0.071
0.634 0.729 0.563
0.666 0.071 0.937
0.666 0.095 0.729
0.729 0.563 0.634
0.729 0.666 0.095
0.771 0.405 0.834
0.771 0.866 0.937
0.834 0.563 0.429
0.834 0.771 0.405
0.866 0.429 0.095
0.866 0.937 0.771
0.905 0.134 0.571
0.905 0.271 0.334
0.929 0.063 0.334
0.929 0.366 0.595
0.937 0.666 0.071
0.937 0.771 0.866
0.000 0.000 0.000
0.000 0.000 0.500
0.000 0.500 0.000
0.000 0.500 0.500
0.125 0.750 0.875
0.125 0.875 0.250
0.250 0.125 0.875
0.250 0.625 0.375
0.375 0.250 0.625
0.375 0.625 0.750
0.500 0.000 0.000
0.500 0.000 0.500
0.500 0.500 0.000
0.500 0.500 0.500
0.625 0.375 0.250
0.625 0.750 0.375
0.750 0.375 0.625
0.750 0.875 0.125
0.875 0.125 0.750
0.875 0.250 0.125
0.125 0.250 0.375
0.125 0.375 0.750
0.250 0.375 0.125
0.250 0.875 0.625
0.375 0.125 0.250
0.375 0.750 0.125
0.625 0.250 0.875
0.625 0.875 0.750
0.750 0.125 0.375
0.750 0.625 0.875
0.875 0.625 0.250
0.875 0.750 0.625
```

Output
- Electronic total energy: -519.33 eV/cell
- Formation energy: 580 meV per atom

***

# 3
Here is a relaxed ZrZnMo crystal from the Alexandria database. Energies are from PBE.

Cell and atoms, written as POSCAR:
```
ZrZnMo
1.0
0.000 3.202 3.202
3.202 0.000 3.202
3.202 3.202 0.000
Zr Zn Mo
1 1 1
direct
0.000 0.000 0.000
0.750 0.750 0.750
0.250 0.250 0.250
```

Output
- Electronic total energy: -17.40 eV/cell
- Polymorph energy (0 for the lowest one): 1235 meV/atom
- Formation energy: 1083 meV per atom